# 1
Here is a relaxed structure of ZnCrAs2 from the Alexandria database. Energies are from PBE.

Output
D(E_F): 0.597 states/eV per atom
Formation enthalpy at 0 K: 91 meV per atom
DFT total energy: -4.958 eV/atom

```
data_ZnCrAs2
_symmetry_space_group_name_H-M 'P 1 2/m 1'
_symmetry_Int_Tables_number 10
_cell_length_a 2.9279
_cell_length_b 3.1033
_cell_length_c 7.2898
_cell_angle_alpha 90.00
_cell_angle_beta 100.13
_cell_angle_gamma 90.00
loop_
_symmetry_equiv_pos_as_xyz
'x,y,z'
'-x,-y,-z'
'-x,y,-z'
'x,-y,z'
loop_
_atom_site_label
_atom_site_type_symbol
_atom_site_fract_x
_atom_site_fract_y
_atom_site_fract_z
Zn1 Zn 0.0000 0.0000 0.0000
Cr1 Cr 0.5000 0.0000 0.5000
As1 As 0.0887 0.5000 0.6999
```

=====

# 2
Here is a relaxed structure of K3Sr2SbO6 from the Alexandria database. Energies are from PBE.

Output
Formation energy (no corrections): -1.98 eV per atom
D(E_F): 0.000 states/eV per atom
DFT total energy: -5.360 eV/atom

```
data_K3Sr2SbO6
_symmetry_space_group_name_H-M 'C 1 2/m 1'
_symmetry_Int_Tables_number 12
_cell_length_a 6.1980
_cell_length_b 10.7315
_cell_length_c 6.5628
_cell_angle_alpha 90.00
_cell_angle_beta 108.60
_cell_angle_gamma 90.00
loop_
_symmetry_equiv_pos_as_xyz
'x,y,z'
'-x,-y,-z'
'-x,y,-z'
'x,-y,z'
'x+1/2,y+1/2,z'
'-x+1/2,-y+1/2,-z'
'-x+1/2,y+1/2,-z'
'x+1/2,-y+1/2,z'
loop_
_atom_site_label
_atom_site_type_symbol
_atom_site_fract_x
_atom_site_fract_y
_atom_site_fract_z
K1 K 0.0000 0.0000 0.0000
K2 K 0.0000 0.3375 0.0000
Sr1 Sr 0.0000 0.1669 0.5000
Sb1 Sb 0.0000 0.5000 0.5000
O1 O 0.2017 0.3614 0.6889
O2 O 0.2144 0.5000 0.3139
```

=====

# 3
Here is a relaxed structure of ScSi2Os from the Alexandria database. Energies are from PBE.

Output
Formation energy (no corrections): -0.02 eV per atom
D(E_F): 0.648 states/eV per atom
DFT total energy: -7.121 eV/atom

```
data_ScSi2Os
_symmetry_space_group_name_H-M 'R 3 m'
_symmetry_Int_Tables_number 160
_symmetry_space_group_name_Hall 'R 3 -2"'
_cell_length_a 3.0235
_cell_length_b 3.0235
_cell_length_c 24.2313
_cell_angle_alpha 90.00
_cell_angle_beta 90.00
_cell_angle_gamma 120.00
loop_
_atom_site_label
_atom_site_type_symbol
_atom_site_fract_x
_atom_site_fract_y
_atom_site_fract_z
Sc1 Sc 0.0000 0.0000 0.0000
Si1 Si 0.0000 0.0000 0.5047
Si2 Si 0.0000 0.0000 0.7596
Os1 Os 0.0000 0.0000 0.2444
```

=====

# 4
Here is a relaxed structure of CePmY from the Alexandria database. Energies are from PBE.

Output
Energy above the most stable polymorph in this dataset: 0.031 eV per atom
D(E_F): 2.399 states/eV per atom
Formation enthalpy at 0 K: 109 meV per atom
DFT total energy: -5.607 eV/atom

```
data_CePmY
_symmetry_space_group_name_H-M 'P -6 m 2'
_symmetry_Int_Tables_number 187
_symmetry_space_group_name_Hall 'P -6 2'
_cell_length_a 5.6285
_cell_length_b 5.6285
_cell_length_c 3.5132
_cell_angle_alpha 90.00
_cell_angle_beta 90.00
_cell_angle_gamma 120.00
loop_
_atom_site_label
_atom_site_type_symbol
_atom_site_fract_x
_atom_site_fract_y
_atom_site_fract_z
Ce1 Ce 0.0000 0.0000 0.0000
Pm1 Pm 0.6667 0.3333 0.0000
Y1 Y 0.3333 0.6667 0.5000
```

=====

# 5
Here is a relaxed structure of Hf2Ni2Ir from the Alexandria database. Energies are from PBE.

Output
D(E_F): 0.892 states/eV per atom
Formation enthalpy at 0 K: -636 meV per atom
DFT total energy: -8.702 eV/atom

```
data_Hf2Ni2Ir
_symmetry_space_group_name_H-M 'P 4/m b m'
_symmetry_Int_Tables_number 127
_symmetry_space_group_name_Hall '-P 4 2ab'
_cell_length_a 6.8751
_cell_length_b 6.8751
_cell_length_c 3.2682
_cell_angle_alpha 90.00
_cell_angle_beta 90.00
_cell_angle_gamma 90.00
loop_
_atom_site_label
_atom_site_type_symbol
_atom_site_fract_x
_atom_site_fract_y
_atom_site_fract_z
Hf1 Hf 0.1818 0.3182 0.0000
Ni1 Ni 0.1211 0.6211 0.5000
Ir1 Ir 0.0000 0.0000 0.5000
```

=====

# 6
Here is a relaxed structure of NdPaCd17 from the Alexandria database. Energies are from PBE.

Output
D(E_F): 0.594 states/eV per atom
Formation enthalpy at 0 K: -47 meV per atom
DFT total energy: -1.617 eV/atom

```
data_NdPaCd17
_symmetry_space_group_name_H-M 'R 3 m'
_symmetry_Int_Tables_number 160
_symmetry_space_group_name_Hall 'R 3 -2"'
_cell_length_a 10.0712
_cell_length_b 10.0712
_cell_length_c 15.0143
_cell_angle_alpha 90.00
_cell_angle_beta 90.00
_cell_angle_gamma 120.00
loop_
_atom_site_label
_atom_site_type_symbol
_atom_site_fract_x
_atom_site_fract_y
_atom_site_fract_z
Nd1 Nd 0.0000 0.0000 0.0000
Pa1 Pa 0.0000 0.0000 0.6611
Cd1 Cd 0.0000 0.0000 0.2409
Cd2 Cd 0.0000 0.0000 0.4369
Cd3 Cd 0.0024 0.3043 0.3327
Cd4 Cd 0.0210 0.5105 0.1882
Cd5 Cd 0.0300 0.5150 0.8268
Cd6 Cd 0.0561 0.5280 0.4845
```

=====

# 7
Here is a relaxed structure of CuRuSe from the Alexandria database. Energies are from PBE.

Output
Energy above the most stable polymorph in this dataset: 0.000 eV per atom
Formation energy (no corrections): 0.08 eV per atom
D(E_F): 0.742 states/eV per atom
DFT total energy: -5.539 eV/atom

```
data_CuRuSe
_symmetry_space_group_name_H-M 'P 4/n m m'
_symmetry_Int_Tables_number 129
_cell_length_a 4.1081
_cell_length_b 4.1081
_cell_length_c 5.6433
_cell_angle_alpha 90.00
_cell_angle_beta 90.00
_cell_angle_gamma 90.00
loop_
_symmetry_equiv_pos_as_xyz
'x,y,z'
'-x,-y,-z'
'-y+1/2,x,z'
'y+1/2,-x,-z'
'-x+1/2,-y+1/2,z'
'x+1/2,y+1/2,-z'
'y,-x+1/2,z'
'-y,x+1/2,-z'
'x+1/2,-y,-z'
'-x+1/2,y,z'
'-y,-x,-z'
'y,x,z'
'-x,y+1/2,-z'
'x,-y+1/2,z'
'y+1/2,x+1/2,-z'
'-y+1/2,-x+1/2,z'
loop_
_atom_site_label
_atom_site_type_symbol
_atom_site_fract_x
_atom_site_fract_y
_atom_site_fract_z
Cu1 Cu 0.2500 0.2500 0.1836
Ru1 Ru 0.2500 0.7500 0.5000
Se1 Se 0.2500 0.2500 0.7571
```

=====

# 8
Here is a relaxed structure of CuSbRu2 from the Alexandria database. Energies are from PBE.

Output
Formation energy (no corrections): 0.27 eV per atom
D(E_F): 1.013 states/eV per atom
DFT total energy: -6.425 eV/atom

```
data_CuSbRu2
_symmetry_space_group_name_H-M 'P 1 2/m 1'
_symmetry_Int_Tables_number 10
_cell_length_a 4.4950
_cell_length_b 2.9822
_cell_length_c 4.9374
_cell_angle_alpha 90.00
_cell_angle_beta 111.30
_cell_angle_gamma 90.00
loop_
_symmetry_equiv_pos_as_xyz
'x,y,z'
'-x,-y,-z'
'-x,y,-z'
'x,-y,z'
loop_
_atom_site_label
_atom_site_type_symbol
_atom_site_fract_x
_atom_site_fract_y
_atom_site_fract_z
Cu1 Cu 0.0000 0.0000 0.0000
Sb1 Sb 0.0000 0.5000 0.5000
Ru1 Ru 0.5000 0.0000 0.5000
Ru2 Ru 0.5000 0.5000 0.0000
```

=====

# 9
Here is a relaxed structure of TaV2CuSi from the Alexandria database. Energies are from PBE.

Output
Formation energy (no corrections): 0.64 eV per atom
D(E_F): 0.590 states/eV per atom
DFT total energy: -7.281 eV/atom

```
data_TaV2CuSi
_symmetry_space_group_name_H-M 'P 4/m m m'
_symmetry_Int_Tables_number 123
_symmetry_space_group_name_Hall '-P 4 2'
_cell_length_a 4.4070
_cell_length_b 4.4070
_cell_length_c 4.1282
_cell_angle_alpha 90.00
_cell_angle_beta 90.00
_cell_angle_gamma 90.00
loop_
_atom_site_label
_atom_site_type_symbol
_atom_site_fract_x
_atom_site_fract_y
_atom_site_fract_z
Ta1 Ta 0.0000 0.0000 0.0000
V1 V 0.0000 0.5000 0.5000
Cu1 Cu 0.5000 0.5000 0.0000
Si1 Si 0.5000 0.5000 0.5000
```

=====

# 10
Here is a relaxed structure of PuSc2Tl from the Alexandria database. Energies are from PBE.

Output
Energy above the most stable polymorph in this dataset: 0.000 eV per atom
D(E_F): 2.098 states/eV per atom
Formation enthalpy at 0 K: -79 meV per atom
DFT total energy: -7.419 eV/atom

```
data_PuSc2Tl
_symmetry_space_group_name_H-M 'P 4/m m m'
_symmetry_Int_Tables_number 123
_symmetry_space_group_name_Hall '-P 4 2'
_cell_length_a 3.3174
_cell_length_b 3.3174
_cell_length_c 8.6574
_cell_angle_alpha 90.00
_cell_angle_beta 90.00
_cell_angle_gamma 90.00
loop_
_atom_site_label
_atom_site_type_symbol
_atom_site_fract_x
_atom_site_fract_y
_atom_site_fract_z
Pu1 Pu 0.0000 0.0000 0.0000
Sc1 Sc 0.5000 0.5000 0.2579
Tl1 Tl 0.0000 0.0000 0.5000
```

=====

# 11
Here is a relaxed structure of RbAg2Au2 from the Alexandria database. Energies are from PBE.

Output
Energy above the most stable polymorph in this dataset: 0.083 eV per atom
D(E_F): 0.306 states/eV per atom
Formation enthalpy at 0 K: 35 meV per atom
DFT total energy: -2.610 eV/atom

```
data_RbAg2Au2
_symmetry_space_group_name_H-M 'I 4/m m m'
_symmetry_Int_Tables_number 139
_symmetry_space_group_name_Hall '-I 4 2'
_cell_length_a 5.0347
_cell_length_b 5.0347
_cell_length_c 10.4272
_cell_angle_alpha 90.00
_cell_angle_beta 90.00
_cell_angle_gamma 90.00
loop_
_atom_site_label
_atom_site_type_symbol
_atom_site_fract_x
_atom_site_fract_y
_atom_site_fract_z
Rb1 Rb 0.0000 0.0000 0.0000
Ag1 Ag 0.0000 0.0000 0.3640
Au1 Au 0.0000 0.5000 0.2500
```

=====

# 12
Here is a relaxed structure of La2ErPu from the Alexandria database. Energies are from PBE.

Output
Energy above the most stable polymorph in this dataset: 0.147 eV per atom
D(E_F): 3.219 states/eV per atom
Formation enthalpy at 0 K: 259 meV per atom
DFT total energy: -6.929 eV/atom

```
data_La2ErPu
_symmetry_space_group_name_H-M 'R -3 m'
_symmetry_Int_Tables_number 166
_symmetry_space_group_name_Hall '-R 3 2"'
_cell_length_a 3.5157
_cell_length_b 3.5157
_cell_length_c 37.3668
_cell_angle_alpha 90.00
_cell_angle_beta 90.00
_cell_angle_gamma 120.00
loop_
_atom_site_label
_atom_site_type_symbol
_atom_site_fract_x
_atom_site_fract_y
_atom_site_fract_z
La1 La 0.0000 0.0000 0.0870
Er1 Er 0.0000 0.0000 0.5000
Pu1 Pu 0.0000 0.0000 0.0000
```

=====

# 13
Here is a relaxed structure of Pu4TcRu2 from the Alexandria database. Energies are from PBE.

Output
Energy above the most stable polymorph in this dataset: 0.208 eV per atom
D(E_F): 2.823 states/eV per atom
Formation enthalpy at 0 K: 229 meV per atom
DFT total energy: -12.091 eV/atom

```
data_Pu4TcRu2
_symmetry_space_group_name_H-M 'C m m m'
_symmetry_Int_Tables_number 65
_symmetry_space_group_name_Hall '-C 2 2'
_cell_length_a 4.8302
_cell_length_b 13.6423
_cell_length_c 4.9563
_cell_angle_alpha 90.00
_cell_angle_beta 90.00
_cell_angle_gamma 90.00
loop_
_atom_site_label
_atom_site_type_symbol
_atom_site_fract_x
_atom_site_fract_y
_atom_site_fract_z
Pu1 Pu 0.0000 0.1047 0.0000
Pu2 Pu 0.0000 0.3663 0.5000
Tc1 Tc 0.0000 0.0000 0.5000
Ru1 Ru 0.0000 0.3030 0.0000
```